{"formula": "HgMoRh2", "functional": "PBE-GGA", "state": "optimized geometry", "lattice_angstrom": [[2.8661, 0.0000, 0.0000], [0.0000, 2.8661, 0.0000], [0.0000, 0.0000, 7.8514]], "species": ["Hg", "Mo", "Rh", "Rh"], "frac_coords": [[0.0000, 0.0000, 0.0000], [0.0000, 0.0000, 0.5000], [0.5000, 0.5000, 0.2738], [0.5000, 0.5000, 0.7262]], "magmom_total_mub_per_cell": 0.00, "volume_a3_per_cell": 64, "ef_ev_per_fu": -0.31, "dft_energy_ev_per_fu": -26.1, "dos_at_fermi_per_ev_fu": 1.5}

---

{"formula": "SmAg2Hg2", "functional": "PBE-GGA", "state": "optimized geometry", "lattice_angstrom": [[5.7742, 0.0000, 0.0000], [0.0000, 5.0567, 0.0000], [-1.6894, 0.0000, 7.6671]], "species": ["Sm", "Sm", "Ag", "Ag", "Ag", "Ag", "Hg", "Hg", "Hg", "Hg"], "frac_coords": [[0.2449, 0.2500, 0.2775], [0.7551, 0.7500, 0.7225], [0.3507, 0.7500, 0.9406], [0.4250, 0.2500, 0.6921], [0.5750, 0.7500, 0.3079], [0.6493, 0.2500, 0.0594], [0.0588, 0.2500, 0.8728], [0.2001, 0.7500, 0.5297], [0.7999, 0.2500, 0.4703], [0.9412, 0.7500, 0.1272]], "magmom_total_mub_per_cell": 0.00, "volume_a3_per_cell": 224, "ef_ev_per_fu": -1.14, "dft_energy_ev_per_fu": -12.2, "dos_at_fermi_per_ev_fu": 2.0}

---

{"formula": "Ce6Ru5Pt", "functional": "PBE-GGA", "state": "optimized geometry", "lattice_angstrom": [[3.4610, -5.6047, 0.0000], [3.4610, 5.6047, 0.0000], [-1.9548, 0.0000, 6.8233]], "species": ["Ce", "Ce", "Ce", "Ce", "Ce", "Ce", "Ru", "Ru", "Ru", "Ru", "Ru", "Pt"], "frac_coords": [[0.0660, 0.4098, 0.7276], [0.2198, 0.2198, 0.2208], [0.4098, 0.0660, 0.7276], [0.5901, 0.9340, 0.2724], [0.7802, 0.7802, 0.7792], [0.9340, 0.5901, 0.2724], [0.0000, 0.0000, 0.5000], [0.1906, 0.8094, 0.0000], [0.3692, 0.6308, 0.5000], [0.6308, 0.3692, 0.5000], [0.8094, 0.1906, 0.0000], [0.5000, 0.5000, 0.0000]], "magmom_total_mub_per_cell": 0.00, "volume_a3_per_cell": 265, "ef_ev_per_fu": -4.34, "dft_energy_ev_per_fu": -92.4, "dos_at_fermi_per_ev_fu": 10.1}

---

{"formula": "Pr8Ni2Os", "functional": "PBE-GGA", "state": "optimized geometry", "lattice_angstrom": [[4.2540, -6.3491, 0.0000], [4.2540, 6.3491, 0.0000], [-2.3739, 0.0000, 6.1120]], "species": ["Pr", "Pr", "Pr", "Pr", "Pr", "Pr", "Pr", "Pr", "Ni", "Ni", "Os"], "frac_coords": [[0.0000, 0.0000, 0.0000], [0.0047, 0.2758, 0.5567], [0.1573, 0.5435, 0.1832], [0.2758, 0.0047, 0.5567], [0.4399, 0.7109, 0.7995], [0.5435, 0.1573, 0.1832], [0.7104, 0.7104, 0.3893], [0.7109, 0.4399, 0.7995], [0.0474, 0.6788, 0.6940], [0.6788, 0.0474, 0.6940], [0.3603, 0.3603, 0.4052]], "magmom_total_mub_per_cell": 0.00, "volume_a3_per_cell": 330, "ef_ev_per_fu": -0.18, "dft_energy_ev_per_fu": -61.2, "dos_at_fermi_per_ev_fu": 11.8}

---

> Which formula does entry 3 have?

Ce6Ru5Pt